BaPr2Sc | PBE | relaxed

The structure in CIF format:
```
data_BaPr2Sc
_chemical_formula_sum 'Ba1 Pr2 Sc1'
_cell_length_a 3.974
_cell_length_b 3.974
_cell_length_c 9.720
_cell_angle_alpha 90.00
_cell_angle_beta 90.00
_cell_angle_gamma 90.00
_symmetry_space_group_name_H-M 'P 4/m m m'
_symmetry_Int_Tables_number 123
_symmetry_space_group_name_Hall '-P 4 2'
loop_
_atom_site_label
_atom_site_type_symbol
_atom_site_fract_x
_atom_site_fract_y
_atom_site_fract_z
Ba1 Ba 0.000 0.000 0.000
Pr1 Pr 0.500 0.500 0.307
Sc1 Sc 0.000 0.000 0.500
```

Summary:
- Electronic total energy: -4.340 eV per atom
- Energy above the most stable polymorph in this dataset: 0 meV/atom
- Energy of formation from the pure elements: 0.114 eV/atom
- Magnetic moment: 0.00 μB per atom



CeNpTe2 | PBE | relaxed

The structure in CIF format:
```
data_CeNpTe2
_chemical_formula_sum 'Ce1 Np1 Te2'
_cell_length_a 3.817
_cell_length_b 3.817
_cell_length_c 7.652
_cell_angle_alpha 90.00
_cell_angle_beta 90.00
_cell_angle_gamma 90.00
_symmetry_space_group_name_H-M 'P 4/m m m'
_symmetry_Int_Tables_number 123
_symmetry_space_group_name_Hall '-P 4 2'
loop_
_atom_site_label
_atom_site_type_symbol
_atom_site_fract_x
_atom_site_fract_y
_atom_site_fract_z
Ce1 Ce 0.000 0.000 0.000
Np1 Np 0.000 0.000 0.500
Te1 Te 0.500 0.500 0.254
```

Summary:
- Electronic total energy: -7.174 eV per atom
- Energy above the most stable polymorph in this dataset: 0 meV/atom
- ΔE_f (raw): -3.54 eV/f.u.
- Magnetic moment: 1.68 μB per atom



Tm4Sn2N | PBE | relaxed

The structure in CIF format:
```
data_Tm4Sn2N
_chemical_formula_sum 'Tm8 Sn4 N2'
_cell_length_a 4.541
_cell_length_b 4.541
_cell_length_c 17.053
_cell_angle_alpha 90.00
_cell_angle_beta 90.00
_cell_angle_gamma 90.00
_symmetry_space_group_name_H-M 'I 4/m m m'
_symmetry_Int_Tables_number 139
_symmetry_space_group_name_Hall '-I 4 2'
loop_
_atom_site_label
_atom_site_type_symbol
_atom_site_fract_x
_atom_site_fract_y
_atom_site_fract_z
Tm1 Tm 0.000 0.000 0.172
Tm2 Tm 0.000 0.500 0.000
Sn1 Sn 0.000 0.000 0.354
N1 N 0.000 0.000 0.500
```

Summary:
- Electronic total energy: -5.500 eV per atom
- Energy above the most stable polymorph in this dataset: 202 meV/atom
- ΔE_f (raw): -4.28 eV/f.u.
- Magnetic moment: 0.00 μB per atom



SrLa2Be | PBE | relaxed

The structure in CIF format:
```
data_SrLa2Be
_chemical_formula_sum 'Sr2 La4 Be2'
_cell_length_a 6.619
_cell_length_b 11.887
_cell_length_c 3.699
_cell_angle_alpha 90.00
_cell_angle_beta 117.93
_cell_angle_gamma 90.00
_symmetry_space_group_name_H-M 'C 1 2/m 1'
_symmetry_Int_Tables_number 12
_symmetry_space_group_name_Hall '-C 2y'
loop_
_atom_site_label
_atom_site_type_symbol
_atom_site_fract_x
_atom_site_fract_y
_atom_site_fract_z
Sr1 Sr 0.000 0.000 0.000
La1 La 0.250 0.250 0.500
Be1 Be 0.000 0.500 0.000
```

Summary:
- Electronic total energy: -3.303 eV per atom
- Energy of formation from the pure elements: 0.513 eV/atom
- Magnetic moment: 0.00 μB per atom



Th2NpPaN4 | PBE | relaxed

The structure in CIF format:
```
data_Th2NpPaN4
_chemical_formula_sum 'Th2 Np1 Pa1 N4'
_cell_length_a 6.180
_cell_length_b 3.567
_cell_length_c 6.192
_cell_angle_alpha 90.00
_cell_angle_beta 109.66
_cell_angle_gamma 90.00
_symmetry_space_group_name_H-M 'P 1 2/m 1'
_symmetry_Int_Tables_number 10
_symmetry_space_group_name_Hall '-P 2y'
loop_
_atom_site_label
_atom_site_type_symbol
_atom_site_fract_x
_atom_site_fract_y
_atom_site_fract_z
Th1 Th 0.000 0.000 0.000
Th2 Th 0.500 0.500 0.000
Np1 Np 0.000 0.500 0.500
Pa1 Pa 0.500 0.000 0.500
N1 N 0.244 0.000 0.726
N2 N 0.262 0.500 0.273
```

Summary:
- Electronic total energy: -10.278 eV per atom
- ΔE_f (raw): -11.65 eV/f.u.
- Magnetic moment: 0.42 μB per atom



CeScZnOs | PBE | relaxed

The structure in CIF format:
```
data_CeScZnOs
_chemical_formula_sum 'Ce4 Sc4 Zn4 Os4'
_cell_length_a 6.817
_cell_length_b 6.817
_cell_length_c 6.817
_cell_angle_alpha 90.00
_cell_angle_beta 90.00
_cell_angle_gamma 90.00
_symmetry_space_group_name_H-M 'F -4 3 m'
_symmetry_Int_Tables_number 216
_symmetry_space_group_name_Hall 'F -4 2 3'
loop_
_atom_site_label
_atom_site_type_symbol
_atom_site_fract_x
_atom_site_fract_y
_atom_site_fract_z
Ce1 Ce 0.000 0.000 0.000
Sc1 Sc 0.000 0.000 0.500
Zn1 Zn 0.250 0.250 0.750
Os1 Os 0.250 0.250 0.250
```

Summary:
- Electronic total energy: -6.449 eV per atom
- Energy of formation from the pure elements: -0.257 eV/atom
- Magnetic moment: 0.00 μB per atom